Here is Sm2RuAu after structural relaxation from the Alexandria database. Energies are from GGA-PBEsol.

Its crystal system is cubic. The space group is Fm-3m (225). The value obtained for the volume is 21.6 Å³ per atom. The value obtained for the calculated formation energy is -170 kJ/mol of formula units.

Lattice parameters (Å, degrees): 4.9625 4.9625 4.9625 60.00 60.00 60.00
With the nearest neighbours (Å) after each atom.
Element x y z (fractional)
Sm (0.2500, 0.2500, 0.2500)  4 Ru 3.04, 4 Au 3.04
Sm (0.7500, 0.7500, 0.7500)  4 Ru 3.04, 4 Au 3.04
Ru (0.0000, 0.0000, 0.0000)  8 Sm 3.04
Au (0.5000, 0.5000, 0.5000)  8 Sm 3.04


Here is CuPt3 after structural relaxation from the Alexandria database. Energies are from GGA-PBEsol.

Its crystal system is monoclinic. The space group is C2/m (12). The value obtained for the volume is 14.2 Å³ per atom. The value obtained for the calculated formation energy is -29 kJ/mol of formula units.

Lattice parameters (Å, degrees): 4.7113 4.7113 4.7110 99.52 99.52 33.51
With the nearest neighbours (Å) after each atom.
Element x y z (fractional)
Cu (0.0000, 0.0000, 0.0000)  10 Pt 2.69-2.74, 2 Cu 2.72
Pt (0.2535, 0.2535, 0.7538)  3 Cu 2.69-2.74, 9 Pt 2.70-2.75
Pt (0.5000, 0.5000, 0.5000)  8 Pt 2.70-2.75, 4 Cu 2.72
Pt (0.7465, 0.7465, 0.2462)  3 Cu 2.69-2.74, 9 Pt 2.70-2.75


Here is Ca2ZrBr after structural relaxation from the Alexandria database. Energies are from GGA-PBEsol.

Its crystal system is orthorhombic. The value obtained for the formation energy from raw total energies is -37 kJ/mol of formula units. Its polymorph energy (0 for the lowest one) is 124 meV/atom. The space group is Cmmm (65). The value obtained for the volume is 28.0 Å³ per atom.

Lattice parameters (Å, degrees): 5.8217 5.8217 3.4035 90.00 90.00 104.14
With the nearest neighbours (Å) after each atom.
Element x y z (fractional)
Ca (0.0000, 0.5000, 0.0000)  4 Zr 3.37, 4 Br 3.37, 4 Ca 3.40-3.58
Ca (0.5000, 0.0000, 0.0000)  4 Zr 3.37, 4 Br 3.37, 4 Ca 3.40-3.58
Zr (0.0000, 0.0000, 0.5000)  8 Ca 3.37, 2 Zr 3.40, 2 Br 3.58
Br (0.5000, 0.5000, 0.5000)  8 Ca 3.37, 2 Br 3.40, 2 Zr 3.58


Here is Cd3Pt2 after structural relaxation from the Alexandria database. Energies are from GGA-PBEsol.

Its crystal system is orthorhombic. Its polymorph energy (0 for the lowest one) is 17 meV/atom. The space group is Fdd2 (43). The value obtained for the volume is 17.4 Å³ per atom. The value obtained for the calculated formation energy is -100 kJ/mol of formula units.

Lattice parameters (Å, degrees): 7.3870 5.4444 8.3721 60.30 39.81 79.89
With the nearest neighbours (Å) after each atom.
Element x y z (fractional)
Cd (0.0000, 0.0000, 0.0000)  6 Pt 2.78-2.86, 4 Cd 3.00-3.07
Cd (0.2500, 0.2500, 0.2500)  6 Pt 2.78-2.86, 4 Cd 3.00-3.07
Cd (0.4337, 0.5518, 0.3626)  5 Pt 2.77-2.91, 5 Cd 2.80-3.07
Cd (0.5518, 0.4337, 0.6519)  5 Pt 2.77-2.91, 5 Cd 2.80-3.07
Cd (0.5981, 0.8874, 0.6982)  5 Pt 2.77-2.91, 5 Cd 2.80-3.07
Cd (0.8874, 0.5981, 0.8163)  5 Pt 2.77-2.91, 5 Cd 2.80-3.07
Pt (0.1267, 0.7649, 0.2790)  8 Cd 2.77-2.91, 2 Pt 2.99
Pt (0.4206, 0.9710, 0.4851)  8 Cd 2.77-2.91, 2 Pt 2.99
Pt (0.7649, 0.1267, 0.8294)  8 Cd 2.77-2.91, 2 Pt 2.99
Pt (0.9710, 0.4206, 0.1233)  8 Cd 2.77-2.91, 2 Pt 2.99


Here is OsRhAu after structural relaxation from the Alexandria database. Energies are from GGA-PBEsol.

Its crystal system is cubic. Its polymorph energy (0 for the lowest one) is 0 meV/atom. The space group is F-43m (216). The value obtained for the volume is 17.1 Å³ per atom. The value obtained for the calculated formation energy is 256 kJ/mol of formula units.

Lattice parameters (Å, degrees): 4.1715 4.1715 4.1715 60.00 60.00 60.00
With the nearest neighbours (Å) after each atom.
Element x y z (fractional)
Os (0.0000, 0.0000, 0.0000)  4 Rh 2.55
Rh (0.7500, 0.7500, 0.7500)  4 Os 2.55, 4 Au 2.55
Au (0.5000, 0.5000, 0.5000)  4 Rh 2.55


Here is CuRhCl2 after structural relaxation from the Alexandria database. Energies are from GGA-PBEsol.

Its crystal system is cubic. The value obtained for the formation energy from raw total energies is 142 kJ/mol of formula units. Its polymorph energy (0 for the lowest one) is 551 meV/atom. The space group is Fm-3m (225). The value obtained for the volume is 15.0 Å³ per atom.

Lattice parameters (Å, degrees): 4.3950 4.3950 4.3950 60.00 60.00 60.00
With the nearest neighbours (Å) after each atom.
Element x y z (fractional)
Cu (0.0000, 0.0000, 0.0000)  8 Cl 2.69
Rh (0.5000, 0.5000, 0.5000)  8 Cl 2.69
Cl (0.2500, 0.2500, 0.2500)  4 Rh 2.69, 4 Cu 2.69
Cl (0.7500, 0.7500, 0.7500)  4 Cu 2.69, 4 Rh 2.69